A plane-wave DFT calculation with GGA-PBE was carried out for TiTePtI2 after structural relaxation.

Results
energy relative to the lowest polymorph listed for this composition: 0.0356 eV/atom
symmetry: P4/mmm, No. 123

a = 5.2578 Å, b = 5.2578 Å, c = 5.5418 Å
α = 90.00°, β = 90.00°, γ = 90.00°
Closest atoms and distances in Å follow each position.
Element x y z (fractional)
I 0.5000 0.0000 0.0000  2 Ti 2.63
I 0.0000 0.5000 0.0000  2 Ti 2.63
Te 0.0000 0.0000 0.5000  2 Ti 2.77
Ti 0.0000 0.0000 0.0000  4 I 2.63, 2 Te 2.77
Pt 0.5000 0.5000 0.5000  4 Te 3.72, 8 I 3.82